1.
This record from the Alexandria database describes a relaxed Ba2CaTb crystal. The functional is PBE-GGA.

Cell lengths 4.3878, 4.3878, 9.9512 Å; angles 90.00, 90.00, 90.00 degrees
With the nearest neighbours (Å) after each atom.
Space group P4/mmm (No. 123)
Unique sites:
Ba: 0.0000 0.0000 0.2305  4 Tb 3.86, 4 Ca 4.10
Ca: 0.5000 0.5000 0.5000  8 Ba 4.10, 4 Ca 4.39
Tb: 0.5000 0.5000 0.0000  8 Ba 3.86

Output
**DFT total energy**: -2.432 eV per atom
**E_form**: 187 meV/atom
**Distance to the lowest polymorph of the same formula**: 0 meV per atom

***

2.
This record from the Alexandria database describes a relaxed Li6Pd3Pb crystal. The functional is PBE-GGA.

Cell lengths 8.6681, 11.2942, 6.5320 Å; angles 90.00, 90.00, 90.00 degrees
With the nearest neighbours (Å) after each atom.
Space group Cmc2_1 (No. 36)
Unique sites:
Li: 0.0000 0.0178 0.0000  2 Li 2.52, 4 Pd 2.67-2.68
Li: 0.0000 0.3024 0.5221  4 Li 2.67-2.75, 4 Pd 2.67-2.85
Li: 0.2044 0.1618 0.3105  3 Li 2.58-2.75, 2 Pd 2.61-2.71
Li: 0.2095 0.4750 0.5072  4 Pd 2.44-2.56, 4 Li 2.52-2.67
Pd: 0.0000 0.4944 0.7633  5 Li 2.44-2.68
Pd: 0.1625 0.1376 0.7202  7 Li 2.52-2.71, 1 Pd 2.82
Pb: 0.0000 0.2950 0.0303  4 Pd 2.82-3.04, 5 Li 2.96-3.14

Output
**DFT total energy**: -3.372 eV per atom
**E_form**: -295 meV/atom

***

Which of these has the highest DFT total energy?
Ba2CaTb

***

DFT total energy of number 2 (Li6Pd3Pb)?
-3.372 eV per atom

***

Which of these has the highest DFT total energy?
Ba2CaTb